Record 1
! Si3MoS, relaxed, DFT GGA-PBE; values from VASP
! * uncorrected energy: -27.485 eV/cell
! * space group: No. 221
! * N(E_F): 0.90 states/eV/atom
! * distance to the lowest polymorph of the same formula: 0.00 eV/f.u.
! * uncorrected formation energy: 72 kJ per mole of atoms
&SYSTEM
  ibrav = 0, nat = 5, ntyp = 3
/
ATOMIC_SPECIES
Mo 95.94 Mo.upf
Si 28.09 Si.upf
S 32.06 S.upf
ATOMIC_POSITIONS crystal
Mo 0.000 0.000 0.000
Si 0.000 0.500 0.000
Si 0.000 0.000 0.500
Si 0.500 0.000 0.000
S 0.500 0.500 0.500
CELL_PARAMETERS angstrom
-0.493 -4.338 -1.873
3.189 -1.695 3.087
-3.487 -0.937 3.088



Record 2
! SiMo2S, relaxed, DFT GGA-PBE; values from VASP
! * uncorrected energy: -31.384 eV/cell
! * space group: No. 225
! * N(E_F): 0.72 states/eV/atom
! * distance to the lowest polymorph of the same formula: 0.00 eV/f.u.
! * uncorrected formation energy: -4 kJ per mole of atoms
&SYSTEM
  ibrav = 0, nat = 4, ntyp = 3
/
ATOMIC_SPECIES
Mo 95.94 Mo.upf
Si 28.09 Si.upf
S 32.06 S.upf
ATOMIC_POSITIONS crystal
Mo 0.250 0.250 0.250
Mo 0.750 0.750 0.750
Si 0.000 0.000 0.000
S 0.500 0.500 0.500
CELL_PARAMETERS angstrom
3.248 -2.791 -0.307
2.230 -1.093 3.503
-0.395 -3.943 1.652



Record 3
! Si3MoS, relaxed, DFT GGA-PBE; values from VASP
! * uncorrected energy: -25.735 eV/cell
! * space group: No. 221
! * N(E_F): 0.55 states/eV/atom
! * distance to the lowest polymorph of the same formula: 1.75 eV/f.u.
! * uncorrected formation energy: 106 kJ per mole of atoms
&SYSTEM
  ibrav = 0, nat = 5, ntyp = 3
/
ATOMIC_SPECIES
Mo 95.94 Mo.upf
Si 28.09 Si.upf
S 32.06 S.upf
ATOMIC_POSITIONS crystal
Mo 0.500 0.500 0.500
Si 0.000 0.500 0.000
Si 0.000 0.000 0.500
Si 0.500 0.000 0.000
S 0.000 0.000 0.000
CELL_PARAMETERS angstrom
4.411 0.000 0.000
0.000 4.411 0.000
0.000 0.000 4.411



Record 4
! SiMo2S, relaxed, DFT GGA-PBE; values from VASP
! * uncorrected energy: -58.407 eV/cell
! * space group: No. 122
! * N(E_F): 0.58 states/eV/atom
! * distance to the lowest polymorph of the same formula: 2.18 eV/f.u.
! * uncorrected formation energy: 48 kJ per mole of atoms
&SYSTEM
  ibrav = 0, nat = 8, ntyp = 3
/
ATOMIC_SPECIES
Mo 95.94 Mo.upf
Si 28.09 Si.upf
S 32.06 S.upf
ATOMIC_POSITIONS crystal
Mo 0.643 0.125 0.250
Mo 0.107 0.625 0.250
Mo 0.375 0.357 0.750
Mo 0.875 0.893 0.750
Si 0.500 0.500 0.000
Si 0.250 0.750 0.500
S 0.000 0.000 0.000
S 0.750 0.250 0.500
CELL_PARAMETERS angstrom
-1.522 5.105 0.817
-1.743 0.295 -5.092
-6.682 0.935 -0.511